This record from Alexandria describes a geometry-optimized VBiI3 structure. The functional is PBE-GGA.

Cell and atoms, written as POSCAR:
```
VBiI3
1.0
5.519 0.000 0.000
0.000 5.519 0.000
0.000 0.000 5.519
V Bi I
1 1 3
Direct
0.000 0.000 0.000
0.500 0.500 0.500
0.000 0.000 0.500
0.000 0.500 0.000
0.500 0.000 0.000
```

symmetry = Pm-3m (221)
total energy = -3.40 eV/atom
formation energy (no corrections) = 0.67 eV per formula unit
M_tot = 3.18 Bohr magnetons per cell